No. 1
Here is Tl3GaBr6 after structural relaxation from Alexandria via LeMat-Bulk. Energies are from PBE.

Geometry as CIF:
```
data_Tl3GaBr6
_cell_length_a 12.669
_cell_length_b 16.482
_cell_length_c 8.058
_cell_angle_alpha 90.00
_cell_angle_beta 90.00
_cell_angle_gamma 90.00
_space_group_name_H-M_alt 'C m c 21'
_space_group_IT_number 36
loop_
_space_group_symop_operation_xyz
'x,y,z'
'-x,-y,z+1/2'
'-x,y,z'
'x,-y,z+1/2'
'x+1/2,y+1/2,z'
'-x+1/2,-y+1/2,z+1/2'
'-x+1/2,y+1/2,z'
'x+1/2,-y+1/2,z+1/2'
loop_
_atom_site_label
_atom_site_type_symbol
_atom_site_fract_x
_atom_site_fract_y
_atom_site_fract_z
Tl1 Tl 0.000 0.092 0.000
Tl2 Tl 0.198 0.408 0.964
Ga1 Ga 0.000 0.308 0.395
Br1 Br 0.000 0.295 0.686
Br2 Br 0.000 0.448 0.314
Br3 Br 0.152 0.249 0.277
Br4 Br 0.160 0.012 0.728
```

## Properties
ΔE_f (raw) = -0.865 eV/atom

=====

No. 2
Here is TbTmMgBe after structural relaxation from Alexandria via LeMat-Bulk. Energies are from PBE.

Geometry as CIF:
```
data_TbTmMgBe
_cell_length_a 7.164
_cell_length_b 7.164
_cell_length_c 7.164
_cell_angle_alpha 90.00
_cell_angle_beta 90.00
_cell_angle_gamma 90.00
_space_group_name_H-M_alt 'F -4 3 m'
_space_group_IT_number 216
_space_group_name_Hall 'F -4 2 3'
loop_
_atom_site_label
_atom_site_type_symbol
_atom_site_fract_x
_atom_site_fract_y
_atom_site_fract_z
Tb1 Tb 0.000 0.000 0.000
Tm1 Tm 0.000 0.000 0.500
Mg1 Mg 0.250 0.250 0.750
Be1 Be 0.250 0.250 0.250
```

## Properties
energy of formation = 0.091 eV/atom

=====

No. 3
Here is Ce2Pu2H7 after structural relaxation from Alexandria via LeMat-Bulk. Energies are from PBE.

Geometry as CIF:
```
data_Ce2Pu2H7
_cell_length_a 7.682
_cell_length_b 8.342
_cell_length_c 4.620
_cell_angle_alpha 90.00
_cell_angle_beta 90.00
_cell_angle_gamma 90.00
_space_group_name_H-M_alt 'C m m m'
_space_group_IT_number 65
_space_group_name_Hall '-C 2 2'
loop_
_atom_site_label
_atom_site_type_symbol
_atom_site_fract_x
_atom_site_fract_y
_atom_site_fract_z
Ce1 Ce 0.000 0.232 0.000
Pu1 Pu 0.235 0.500 0.500
H1 H 0.000 0.000 0.265
H2 H 0.000 0.500 0.000
H3 H 0.250 0.250 0.268
```

## Properties
total energy = -135.09 eV per cell

=====

No. 4
Here is Mn2MoP after structural relaxation from Alexandria via LeMat-Bulk. Energies are from PBE.

Geometry as CIF:
```
data_Mn2MoP
_cell_length_a 3.580
_cell_length_b 8.610
_cell_length_c 6.280
_cell_angle_alpha 90.00
_cell_angle_beta 90.00
_cell_angle_gamma 90.00
_space_group_name_H-M_alt 'C m c m'
_space_group_IT_number 63
_space_group_name_Hall '-C 2c 2'
loop_
_atom_site_label
_atom_site_type_symbol
_atom_site_fract_x
_atom_site_fract_y
_atom_site_fract_z
Mn1 Mn 0.000 0.136 0.049
Mo1 Mo 0.000 0.441 0.250
P1 P 0.000 0.277 0.750
```

## Properties
energy of formation = -0.368 eV/atom

=====

No. 5
Here is K4HI2Cl after structural relaxation from Alexandria via LeMat-Bulk. Energies are from PBE.

Geometry as CIF:
```
data_K4HI2Cl
_cell_length_a 8.110
_cell_length_b 4.689
_cell_length_c 8.235
_cell_angle_alpha 90.00
_cell_angle_beta 109.04
_cell_angle_gamma 90.00
_space_group_name_H-M_alt 'P 1 2/m 1'
_space_group_IT_number 10
loop_
_space_group_symop_operation_xyz
'x,y,z'
'-x,-y,-z'
'-x,y,-z'
'x,-y,z'
loop_
_atom_site_label
_atom_site_type_symbol
_atom_site_fract_x
_atom_site_fract_y
_atom_site_fract_z
K1 K 0.232 0.000 0.213
K2 K 0.253 0.500 0.785
H1 H 0.000 0.500 0.000
I1 I 0.000 0.000 0.500
I2 I 0.500 0.500 0.500
Cl1 Cl 0.500 0.000 0.000
```

## Properties
total energy = -22.62 eV per cell

=====

No. 6
Here is TmFe7Co5 after structural relaxation from Alexandria via LeMat-Bulk. Energies are from PBE.

Geometry as CIF:
```
data_TmFe7Co5
_cell_length_a 4.736
_cell_length_b 8.329
_cell_length_c 8.300
_cell_angle_alpha 90.00
_cell_angle_beta 90.00
_cell_angle_gamma 90.00
_space_group_name_H-M_alt 'I m m 2'
_space_group_IT_number 44
loop_
_space_group_symop_operation_xyz
'x,y,z'
'-x,-y,z'
'-x,y,z'
'x,-y,z'
'x+1/2,y+1/2,z+1/2'
'-x+1/2,-y+1/2,z+1/2'
'-x+1/2,y+1/2,z+1/2'
'x+1/2,-y+1/2,z+1/2'
loop_
_atom_site_label
_atom_site_type_symbol
_atom_site_fract_x
_atom_site_fract_y
_atom_site_fract_z
Tm1 Tm 0.000 0.000 0.000
Fe1 Fe 0.000 0.000 0.359
Fe2 Fe 0.000 0.000 0.644
Fe3 Fe 0.000 0.277 0.499
Fe4 Fe 0.000 0.358 0.001
Fe5 Fe 0.000 0.500 0.727
Co1 Co 0.000 0.500 0.275
Co2 Co 0.250 0.250 0.249
```

## Properties
energy of formation = -0.087 eV/atom